1.
A geometry-optimized MnNiI5 structure. Source: the Alexandria database, functional PBE-GGA.

## Properties
Formation energy without anion corrections   -100 kJ/mol of formula units
Uncorrected energy   -0.1246 hartree per atom
Crystal system   monoclinic

Lattice parameters (Å, degrees): 7.1418 7.1418 11.0284 108.23 108.23 79.89
Site moments in Bohr magnetons follow the coordinates.
Fractional positions:
I 0.7379 0.3274 0.0388  -0.01
I 0.1726 0.7621 0.4612  -0.01
I 0.7682 0.7318 0.7500  0.02
I 0.3624 0.3324 0.6489  -0.04
I 0.8274 0.2379 0.5388  -0.01
I 0.2621 0.6726 0.9612  -0.01
I 0.6376 0.6676 0.3511  -0.04
I 0.2318 0.2682 0.2500  0.02
I 0.8324 0.8624 0.1489  -0.04
I 0.1676 0.1376 0.8511  -0.04
Ni 0.0515 0.4485 0.7500  -0.37
Ni 0.9485 0.5515 0.2500  -0.37
Mn 0.5000 0.5000 0.5000  4.04
Mn 0.0000 0.0000 0.0000  4.04

2.
A geometry-optimized B2C structure. Source: the Alexandria database, functional PBE-GGA.

## Properties
E_form   0.338 eV per atom
Uncorrected energy   -0.2642 hartree per atom
Crystal system   monoclinic
Energy relative to the lowest polymorph listed for this composition   0.46 eV/f.u.

Lattice parameters (Å, degrees): 4.5257 4.5257 7.5293 70.40 70.40 34.80
Fractional positions:
B 0.3111 0.3111 0.3541
B 0.2458 0.2458 0.0546
B 0.4579 0.4579 0.9854
B 0.6911 0.6911 0.6155
B 0.6104 0.6104 0.1686
B 0.3269 0.3269 0.8002
B 0.0690 0.0690 0.0057
B 0.8217 0.8217 0.1619
C 0.1492 0.1492 0.5384
C 0.4829 0.4829 0.3798
C 0.8431 0.8431 0.6914
C 0.9907 0.9907 0.4942

3.
A geometry-optimized TlBr2Cl structure. Source: the Alexandria database, functional PBE-GGA.

## Properties
Formation energy without anion corrections   -130 kJ/mol of formula units
Uncorrected energy   -0.0818 hartree per atom
Crystal system   tetragonal
Energy relative to the lowest polymorph listed for this composition   0.67 eV/f.u.

Lattice parameters (Å, degrees): 4.2205 4.2237 7.4241 90.00 90.00 90.00
Fractional positions:
Br 0.0000 0.0000 0.0000
Br 0.5000 0.5000 0.0000
Tl 0.0000 0.5000 0.5000
Cl 0.5000 0.0000 0.5000

4.
A geometry-optimized TmGe3Ir3 structure. Source: the Alexandria database, functional PBE-GGA.

## Properties
E_form   -0.453 eV per atom
Uncorrected energy   -0.2524 hartree per atom
Crystal system   trigonal
Energy relative to the lowest polymorph listed for this composition   0.00 eV/f.u.

Lattice parameters (Å, degrees): 6.8740 6.8740 7.8508 64.04 64.04 60.00
Fractional positions:
Ir 0.8087 0.5445 0.3280
Ir 0.5445 0.3189 0.3280
Ir 0.4555 0.6811 0.6720
Ir 0.3189 0.8087 0.3280
Ir 0.6811 0.1913 0.6720
Ir 0.1913 0.4555 0.6720
Ge 0.9574 0.1406 0.3076
Ge 0.0426 0.8594 0.6924
Ge 0.8594 0.4056 0.6924
Ge 0.1406 0.5944 0.3076
Ge 0.4056 0.0426 0.6924
Ge 0.5944 0.9574 0.3076
Tm 0.6723 0.6723 0.9831
Tm 0.3277 0.3277 0.0169

5.
A geometry-optimized Ti2Nb2F structure. Source: the Alexandria database, functional PBE-GGA.

## Properties
Formation energy without anion corrections   -72 kJ/mol of formula units
Uncorrected energy   -0.2833 hartree per atom
Crystal system   tetragonal
Energy relative to the lowest polymorph listed for this composition   0.00 eV/f.u.

Lattice parameters (Å, degrees): 5.8833 5.8833 4.9465 90.00 90.00 90.00
Fractional positions:
Ti 0.1514 0.6514 0.5000
Ti 0.6514 0.8486 0.5000
Ti 0.8486 0.3486 0.5000
Ti 0.3486 0.1514 0.5000
Nb 0.3434 0.8434 0.0000
Nb 0.6566 0.1566 0.0000
Nb 0.8434 0.6566 0.0000
Nb 0.1566 0.3434 0.0000
F 0.5000 0.5000 0.0000
F 0.0000 0.0000 0.0000

6.
A geometry-optimized Pr2Pd4Pb structure. Source: the Alexandria database, functional PBE-GGA.

## Properties
E_form   -0.126 eV per atom
Uncorrected energy   -0.1833 hartree per atom
Crystal system   tetragonal

Lattice parameters (Å, degrees): 5.0468 5.0468 8.2643 107.78 107.78 90.00
Fractional positions:
Pd 0.1835 0.1835 0.3671
Pd 0.8165 0.8165 0.6329
Pd 0.0000 0.5000 0.0000
Pd 0.5000 0.0000 0.0000
Pr 0.6345 0.6345 0.2690
Pr 0.3655 0.3655 0.7310
Pb 0.0000 0.0000 0.0000

7.
A geometry-optimized Y2AgPbC structure. Source: the Alexandria database, functional PBE-GGA.

## Properties
E_form   -0.216 eV per atom
Uncorrected energy   -0.2189 hartree per atom
Crystal system   tetragonal

Lattice parameters (Å, degrees): 4.9445 4.9445 4.4676 90.00 90.00 90.00
Fractional positions:
C 0.0000 0.0000 0.0000
Ag 0.0000 0.0000 0.5000
Y 0.0000 0.5000 0.0000
Y 0.5000 0.0000 0.0000
Pb 0.5000 0.5000 0.5000

8.
A geometry-optimized SmH4Ru structure. Source: the Alexandria database, functional PBE-GGA.

## Properties
Uncorrected energy   -0.1814 hartree per atom
Crystal system   monoclinic
Energy relative to the lowest polymorph listed for this composition   0.54 eV/f.u.

Lattice parameters (Å, degrees): 5.6195 6.2503 5.3227 104.79 99.14 128.94
Fractional positions:
H 0.4161 0.5797 0.8495
H 0.0854 0.1194 0.2483
H 0.9146 0.8806 0.7517
H 0.0667 0.7302 0.1505
H 0.6629 0.1289 0.2483
H 0.9333 0.2698 0.8495
H 0.5839 0.4203 0.1505
H 0.3371 0.8711 0.7517
Sm 0.3881 0.6381 0.2762
Sm 0.6119 0.3619 0.7238
Ru 0.2991 0.0491 0.0981
Ru 0.7009 0.9509 0.9019

9.
A geometry-optimized CsHCl3 structure. Source: the Alexandria database, functional PBE-GGA.

## Properties
Uncorrected energy   -0.1026 hartree per atom
Crystal system   monoclinic
Energy relative to the lowest polymorph listed for this composition   0.00 eV/f.u.

Lattice parameters (Å, degrees): 6.4037 6.7809 7.3607 90.00 89.91 90.00
Site moments in Bohr magnetons follow the coordinates.
Fractional positions:
Cl 0.7503 0.2500 0.4731  0.42
Cl 0.2515 0.4771 0.1900  0.18
Cl 0.2497 0.7500 0.5269  0.42
Cl 0.7485 0.9771 0.8100  0.18
Cl 0.2515 0.0229 0.1900  0.18
Cl 0.7485 0.5229 0.8100  0.18
H 0.7484 0.7500 0.7940  0.00
H 0.2516 0.2500 0.2060  0.00
Cs 0.2497 0.2500 0.7021  0.00
Cs 0.7503 0.7500 0.2979  0.00

10.
A geometry-optimized Cs2KU2O7 structure. Source: the Alexandria database, functional PBE-GGA.

## Properties
Formation energy without anion corrections   -3172 kJ/mol of formula units
Uncorrected energy   -0.2847 hartree per atom
Crystal system   tetragonal

Lattice parameters (Å, degrees): 4.3653 4.3653 12.4621 79.91 79.91 89.99
Site moments in Bohr magnetons follow the coordinates.
Fractional positions:
O 0.6706 0.6706 0.6584  -0.02
O 0.5871 0.0871 0.8256  -0.02
O 0.5000 0.5000 0.0000  -0.02
O 0.9129 0.4129 0.1744  -0.02
O 0.0871 0.5871 0.8256  -0.02
O 0.4129 0.9129 0.1744  -0.02
O 0.3294 0.3294 0.3416  -0.02
Cs 0.1899 0.1899 0.6199  0.00
Cs 0.8101 0.8101 0.3801  0.00
K 0.0000 0.0000 0.0000  0.00
U 0.4112 0.4112 0.1778  0.55
U 0.5888 0.5888 0.8222  0.55

11.
A geometry-optimized Cr2NiSb structure. Source: the Alexandria database, functional PBE-GGA.

## Properties
Formation energy without anion corrections   81 kJ/mol of formula units
Uncorrected energy   -0.2601 hartree per atom
Crystal system   tetragonal

Lattice parameters (Å, degrees): 4.7688 4.7688 4.7688 134.29 134.22 66.69
Site moments in Bohr magnetons follow the coordinates.
Fractional positions:
Sb 0.2500 0.7500 0.5000  -0.03
Cr 0.5000 0.5000 0.0000  0.97
Cr 0.0000 0.0000 0.0000  0.97
Ni 0.7500 0.2500 0.5000  0.02

12.
A geometry-optimized Ta3Os structure. Source: the Alexandria database, functional PBE-GGA.

## Properties
E_form   0.078 eV per atom
Uncorrected energy   -0.4270 hartree per atom
Crystal system   trigonal

Lattice parameters (Å, degrees): 3.0071 9.1624 3.0071 99.44 60.00 99.44
Fractional positions:
Ta 0.7459 0.2378 0.7459
Ta 0.5000 0.5000 0.5000
Ta 0.2541 0.7622 0.2541
Os 0.0000 0.0000 0.0000

13.
A geometry-optimized LiUGaI6 structure. Source: the Alexandria database, functional PBE-GGA.

## Properties
Formation energy without anion corrections   -683 kJ/mol of formula units
Uncorrected energy   -0.1332 hartree per atom
Crystal system   trigonal

Lattice parameters (Å, degrees): 7.6712 7.6712 14.5918 90.00 90.00 120.00
Site moments in Bohr magnetons follow the coordinates.
Fractional positions:
Ga 0.0000 0.0000 0.0000  -0.01
Ga 0.0000 0.0000 0.5000  -0.01
I 0.3534 0.0009 0.1314  -0.03
I 0.0009 0.3534 0.6314  -0.03
I 0.9991 0.6466 0.3686  -0.03
I 0.6466 0.9991 0.8686  -0.03
I 0.6475 0.0009 0.3686  -0.03
I 0.9991 0.3525 0.1314  -0.03
I 0.3534 0.3525 0.3686  -0.03
I 0.3525 0.9991 0.6314  -0.03
I 0.6466 0.6475 0.6314  -0.03
I 0.0009 0.6475 0.8686  -0.03
I 0.6475 0.6466 0.1314  -0.03
I 0.3525 0.3534 0.8686  -0.03
U 0.6667 0.3333 0.2500  2.16
U 0.3333 0.6667 0.7500  2.16
Li 0.6667 0.3333 0.7500  0.00
Li 0.3333 0.6667 0.2500  0.00

14.
A geometry-optimized Ba4AsPtI2 structure. Source: the Alexandria database, functional PBE-GGA.

## Properties
Formation energy without anion corrections   -994 kJ/mol of formula units
Uncorrected energy   -0.1460 hartree per atom
Crystal system   monoclinic

Lattice parameters (Å, degrees): 4.7525 8.2812 8.8935 107.11 90.00 90.00
Fractional positions:
As 0.0000 0.0000 0.0000
Ba 0.5000 0.7574 0.8030
Ba 0.0000 0.7347 0.2051
Ba 0.5000 0.2426 0.1970
Ba 0.0000 0.2653 0.7949
I 0.5000 0.0000 0.5000
I 0.0000 0.5000 0.5000
Pt 0.5000 0.5000 0.0000

15.
A geometry-optimized Tb5PmIr4 structure. Source: the Alexandria database, functional PBE-GGA.

## Properties
E_form   -0.635 eV per atom
Uncorrected energy   -0.2561 hartree per atom
Crystal system   monoclinic

Lattice parameters (Å, degrees): 4.3004 7.4346 9.3285 113.62 103.33 90.00
Fractional positions:
Ir 0.3000 0.8001 0.6000
Ir 0.0000 0.2653 0.0001
Ir 0.7000 0.1999 0.4000
Ir 0.0000 0.7347 0.9999
Tb 0.1659 0.4077 0.3317
Tb 0.1659 0.9237 0.3318
Tb 0.8341 0.0763 0.6682
Tb 0.8341 0.5923 0.6683
Tb 0.5000 0.5000 0.0000
Pm 0.5000 0.0000 0.0000

16.
A geometry-optimized Mg2ZnCd4 structure. Source: the Alexandria database, functional PBE-GGA.

## Properties
E_form   0.021 eV per atom
Uncorrected energy   -0.0419 hartree per atom
Crystal system   tetragonal
Energy relative to the lowest polymorph listed for this composition   0.39 eV/f.u.

Lattice parameters (Å, degrees): 5.9201 5.9201 7.1127 126.93 126.93 63.65
Fractional positions:
Mg 0.2456 0.7544 0.5000
Mg 0.7456 0.2544 0.5000
Cd 0.7065 0.7134 0.4199
Cd 0.7065 0.7136 0.0000
Cd 0.2864 0.2935 0.0000
Cd 0.2866 0.2935 0.5801
Zn 0.0225 0.9775 0.0000

17.
A geometry-optimized Ac2HI5 structure. Source: the Alexandria database, functional PBE-GGA.

## Properties
Uncorrected energy   -0.1311 hartree per atom
Crystal system   orthorhombic

Lattice parameters (Å, degrees): 4.0967 8.2604 21.9729 90.00 90.00 104.36
Fractional positions:
H 0.2133 0.4266 0.2500
H 0.7867 0.5734 0.7500
Ac 0.7542 0.5084 0.3409
Ac 0.7542 0.5084 0.1591
Ac 0.2458 0.4916 0.8409
Ac 0.2458 0.4916 0.6591
I 0.6047 0.2093 0.7500
I 0.6510 0.3020 0.9336
I 0.1038 0.2076 0.3782
I 0.6510 0.3020 0.5664
I 0.8962 0.7924 0.6218
I 0.3953 0.7907 0.2500
I 0.8962 0.7924 0.8782
I 0.3490 0.6980 0.0664
I 0.1038 0.2076 0.1218
I 0.3490 0.6980 0.4336

18.
A geometry-optimized CrIr2Se structure. Source: the Alexandria database, functional PBE-GGA.

## Properties
Formation energy without anion corrections   106 kJ/mol of formula units
Uncorrected energy   -0.2732 hartree per atom
Crystal system   monoclinic

Lattice parameters (Å, degrees): 4.9623 4.9623 4.4276 88.24 88.24 33.81
Site moments in Bohr magnetons follow the coordinates.
Fractional positions:
Cr 0.7242 0.7242 0.7530  2.21
Ir 0.2749 0.2749 0.2256  -0.21
Ir 0.0078 0.0078 0.0048  -0.20
Se 0.4930 0.4930 0.5166  -0.02

19.
A geometry-optimized GaSn8Pd2 structure. Source: the Alexandria database, functional PBE-GGA.

## Properties
E_form   -0.091 eV per atom
Uncorrected energy   -0.1551 hartree per atom
Crystal system   monoclinic

Lattice parameters (Å, degrees): 5.4220 7.7622 7.7622 66.29 73.12 73.12
Fractional positions:
Sn 0.9111 0.1685 0.5782
Sn 0.4162 0.1288 0.1288
Sn 0.0889 0.4218 0.8315
Sn 0.6280 0.6000 0.6000
Sn 0.9111 0.5782 0.1685
Sn 0.5838 0.8712 0.8712
Sn 0.0889 0.8315 0.4218
Sn 0.3720 0.4000 0.4000
Pd 0.1832 0.7865 0.7865
Pd 0.8168 0.2135 0.2135
Ga 0.0000 0.0000 0.0000

20.
A geometry-optimized Ta2InCuSi structure. Source: the Alexandria database, functional PBE-GGA.

## Properties
Formation energy without anion corrections   304 kJ/mol of formula units
Uncorrected energy   -0.2411 hartree per atom
Crystal system   tetragonal

Lattice parameters (Å, degrees): 4.7549 4.3027 4.7549 90.00 90.00 90.00
Fractional positions:
Ta 0.0000 0.0000 0.5000
Ta 0.5000 0.0000 0.0000
Si 0.0000 0.0000 0.0000
Cu 0.0000 0.5000 0.0000
In 0.5000 0.5000 0.5000

21.
A geometry-optimized Ac3Pd2RhO9 structure. Source: the Alexandria database, functional PBE-GGA.

## Properties
Formation energy without anion corrections   -2660 kJ/mol of formula units
Uncorrected energy   -0.2505 hartree per atom
Crystal system   trigonal

Lattice parameters (Å, degrees): 5.7770 5.7770 7.0945 90.00 90.00 120.00
Site moments in Bohr magnetons follow the coordinates.
Fractional positions:
O 0.1667 0.3333 0.3404  0.04
O 0.1667 0.8333 0.3404  0.04
O 0.0000 0.5000 0.0000  0.01
O 0.5000 0.5000 0.0000  0.01
O 0.8333 0.1667 0.6596  0.04
O 0.6667 0.8333 0.3404  0.04
O 0.5000 0.0000 0.0000  0.01
O 0.3333 0.1667 0.6596  0.04
O 0.8333 0.6667 0.6596  0.04
Pd 0.6667 0.3333 0.8341  0.07
Pd 0.3333 0.6667 0.1659  0.07
Ac 0.3333 0.6667 0.6607  0.00
Ac 0.0000 0.0000 0.0000  0.00
Ac 0.6667 0.3333 0.3393  0.00
Rh 0.0000 0.0000 0.5000  0.47

22.
A geometry-optimized PrEuZnPd structure. Source: the Alexandria database, functional PBE-GGA.

## Properties
E_form   -0.471 eV per atom
Uncorrected energy   -0.2150 hartree per atom
Crystal system   cubic

Lattice parameters (Å, degrees): 5.2024 5.2024 5.2024 60.00 60.00 60.00
Site moments in Bohr magnetons follow the coordinates.
Fractional positions:
Zn 0.0000 0.0000 0.0000  0.01
Pr 0.2500 0.2500 0.2500  0.01
Eu 0.7500 0.7500 0.7500  6.80
Pd 0.5000 0.5000 0.5000  -0.02

23.
A geometry-optimized Zr2InRu structure. Source: the Alexandria database, functional PBE-GGA.

## Properties
E_form   -0.298 eV per atom
Uncorrected energy   -0.2784 hartree per atom
Crystal system   orthorhombic

Lattice parameters (Å, degrees): 4.4507 3.3770 5.7563 72.91 90.00 90.00
Fractional positions:
Ru 0.5000 0.5301 0.8156
Zr 0.0000 0.9729 0.9285
Zr 0.5000 0.2981 0.2782
In 0.0000 0.6989 0.4777